A crystal of CdPBr2 relaxed with PBEsol, computed with meta-GGA SCAN.

a b c (Å): 3.6961 3.6961 24.3383
angles (deg): 90.00 90.00 120.00
Space group R3m (No. 160, hexagonal axes)
Unique sites:
Cd  0.0000  0.0000  0.0000
P  0.0000  0.0000  0.7341
Br  0.0000  0.0000  0.2605
Br  0.0000  0.0000  0.4729

Computed properties:
The value obtained for the uncorrected formation energy is 83 meV per atom. Its total magnetic moment is 0.00 μB per formula unit.

---

A crystal of LaZnBr3 relaxed with PBEsol, computed with meta-GGA SCAN.

a b c (Å): 5.789 5.789 5.789
angles (deg): 90.00 90.00 90.00
Space group Pm-3m (No. 221)
Unique sites:
La  0.000  0.000  0.000
Zn  0.500  0.500  0.500
Br  0.000  0.000  0.500

Computed properties:
The value obtained for the uncorrected formation energy is -1433 meV per atom. Its total magnetic moment is 0.00 μB per formula unit.